# PrHo5Tm7

An optimized crystal structure of PrHo5Tm7 (PBE-GGA, Alexandria via LeMat-Bulk).

Calculated values
- ΔE_f (eV/atom) = 0.255
- raw total energy (eV/atom) = -4.281
- calculated density (g cm⁻³) = 8.53

Geometry as CIF:
```
data_PrHo5Tm7
_cell_length_a 6.655
_cell_length_b 8.602
_cell_length_c 8.602
_cell_angle_alpha 79.18
_cell_angle_beta 67.24
_cell_angle_gamma 67.24
_symmetry_space_group_name_H-M 'P 1'
_symmetry_Int_Tables_number 1
loop_
_symmetry_equiv_pos_as_xyz
'x,y,z'
loop_
_atom_site_label
_atom_site_type_symbol
_atom_site_fract_x
_atom_site_fract_y
_atom_site_fract_z
Tm1 Tm 0.579 0.421 0.421
Ho1 Ho 0.001 0.462 0.003
Tm2 Tm 0.273 0.727 0.727
Tm3 Tm 0.517 0.813 0.152
Tm4 Tm 0.517 0.152 0.813
Tm5 Tm 0.019 0.650 0.312
Ho2 Ho 0.534 0.462 0.003
Ho3 Ho 0.770 0.730 0.730
Tm6 Tm 0.019 0.312 0.650
Ho4 Ho 0.001 0.003 0.462
Pr1 Pr 0.969 0.031 0.031
Tm7 Tm 0.265 0.235 0.235
Ho5 Ho 0.534 0.003 0.462
```